1.
VASP calculation (GGA-PBE) on a relaxed structure of Li4AgBi.

Cell lengths 4.6056, 7.1231, 8.5016 Å; angles 52.37, 90.00, 90.00 degrees
Sites, in units of the cell vectors:
Li  0.2500  0.8703  0.2907
Li  0.2500  0.8747  0.9473
Li  0.7500  0.6418  0.5361
Li  0.7500  0.6369  0.8541
Li  0.7500  0.1297  0.7093
Li  0.2500  0.3582  0.4639
Li  0.7500  0.1253  0.0527
Li  0.2500  0.3631  0.1459
Ag  0.7500  0.1140  0.3861
Ag  0.2500  0.8860  0.6139
Bi  0.7500  0.6317  0.1982
Bi  0.2500  0.3683  0.8018

Summary:
Formation energy from the elements: -0.376 eV/atom
Crystal system: monoclinic
Mass density: 5.2 Mg/m³
Calculated total energy: -33.3 eV/cell
Space group: No. 11

2.
VASP calculation (GGA-PBE) on a relaxed structure of Na2LiVNi.

Cell lengths 4.5847, 4.9812, 4.5847 Å; angles 90.00, 90.00, 90.00 degrees
Sites, in units of the cell vectors:
Ni  0.5000  0.5000  0.5000
Li  0.0000  0.0000  0.0000
Na  0.0000  0.0000  0.5000
Na  0.5000  0.0000  0.0000
V  0.0000  0.5000  0.0000

Summary:
Formation energy from the elements: 1.215 eV/atom
Crystal system: tetragonal
Mass density: 2.6 Mg/m³
Calculated total energy: -13.4 eV/cell
Space group: No. 123

3.
VASP calculation (GGA-PBE) on a relaxed structure of YMgCu.

Cell lengths 4.9744, 4.9744, 6.0342 Å; angles 90.00, 90.00, 120.00 degrees
Sites, in units of the cell vectors:
Y  0.3333  0.6667  0.7500
Y  0.6667  0.3333  0.2500
Mg  0.3333  0.6667  0.2500
Mg  0.6667  0.3333  0.7500
Cu  0.0000  0.0000  0.0000
Cu  0.0000  0.0000  0.5000

Summary:
Formation energy from the elements: 0.192 eV/atom
Crystal system: hexagonal
Mass density: 4.5 Mg/m³
Calculated total energy: -23.2 eV/cell
Space group: No. 194

4.
VASP calculation (GGA-PBE) on a relaxed structure of ErPb4S5.

Cell lengths 5.9305, 7.3066, 7.3066 Å; angles 80.52, 66.06, 66.06 degrees
Sites, in units of the cell vectors:
Er  0.0212  0.0000  0.0000
Pb  0.3962  0.4055  0.8013
Pb  0.8016  0.8013  0.5945
Pb  0.1974  0.1987  0.4055
Pb  0.6029  0.5945  0.1987
S  0.9011  0.3697  0.8276
S  0.2708  0.8276  0.6303
S  0.7286  0.1724  0.3697
S  0.0983  0.6303  0.1724
S  0.4921  0.0000  0.0000

Summary:
Crystal system: tetragonal
Mass density: 7.3 Mg/m³
Calculated total energy: -48.1 eV/cell
Space group: No. 79
Uncorrected formation energy: -0.81 eV per atom

Repeat the second record exactly.
VASP calculation (GGA-PBE) on a relaxed structure of Na2LiVNi.

Cell lengths 4.5847, 4.9812, 4.5847 Å; angles 90.00, 90.00, 90.00 degrees
Sites, in units of the cell vectors:
Ni  0.5000  0.5000  0.5000
Li  0.0000  0.0000  0.0000
Na  0.0000  0.0000  0.5000
Na  0.5000  0.0000  0.0000
V  0.0000  0.5000  0.0000

Summary:
Formation energy from the elements: 1.215 eV/atom
Crystal system: tetragonal
Mass density: 2.6 Mg/m³
Calculated total energy: -13.4 eV/cell
Space group: No. 123

Which value of mass density does entry 1 give?
5.2 Mg/m³

Copy entry 1 word for word.
VASP calculation (GGA-PBE) on a relaxed structure of Li4AgBi.

Cell lengths 4.6056, 7.1231, 8.5016 Å; angles 52.37, 90.00, 90.00 degrees
Sites, in units of the cell vectors:
Li  0.2500  0.8703  0.2907
Li  0.2500  0.8747  0.9473
Li  0.7500  0.6418  0.5361
Li  0.7500  0.6369  0.8541
Li  0.7500  0.1297  0.7093
Li  0.2500  0.3582  0.4639
Li  0.7500  0.1253  0.0527
Li  0.2500  0.3631  0.1459
Ag  0.7500  0.1140  0.3861
Ag  0.2500  0.8860  0.6139
Bi  0.7500  0.6317  0.1982
Bi  0.2500  0.3683  0.8018

Summary:
Formation energy from the elements: -0.376 eV/atom
Crystal system: monoclinic
Mass density: 5.2 Mg/m³
Calculated total energy: -33.3 eV/cell
Space group: No. 11

Among the records above, which one has the highest calculated total energy?
Na2LiVNi